Entry A
First-principles (PBE-GGA) data for crystalline CsSrTlO2 at its relaxed geometry, as listed in the Alexandria database.

Lattice parameters (Å, degrees): 7.3676 6.9864 6.9375 90.00 95.87 90.00
Closest atoms and distances in Å follow each position.
Space group P2/c (No. 13)
Asymmetric unit:
Cs 0.0000 0.2458 0.2500 x2  2 O 2.88
Sr 0.5000 0.4863 0.7500 x2  4 O 2.43-2.44
Tl 0.5000 0.0000 0.0000 x2  2 O 2.50
O 0.3446 0.3179 0.4723 x4  2 Sr 2.43-2.44, 1 Tl 2.50

Calculated values
Density of states at the Fermi level = 2.5 states/eV/cell



Entry B
First-principles (PBE-GGA) data for crystalline CsSrTlO2 at its relaxed geometry, as listed in the Alexandria database.

Lattice parameters (Å, degrees): 4.9170 4.9170 5.8726 90.00 90.00 90.00
Closest atoms and distances in Å follow each position.
Space group P4/mmm (No. 123)
Asymmetric unit:
Cs 0.0000 0.0000 0.0000 x1  2 Tl 2.94
Sr 0.5000 0.5000 0.0000 x1  4 Cs 3.48, 8 O 3.83
Tl 0.0000 0.0000 0.5000 x1  4 O 2.46
O 0.0000 0.5000 0.5000 x2  2 Tl 2.46

Calculated values
Density of states at the Fermi level = 3.2 states/eV/cell



Going by the energies, entry A is most stable and the next is 143.1 kJ/mol of atoms up.



Entry A
First-principles (PBE-GGA) data for crystalline CsTcO2 at its relaxed geometry, as listed in the Alexandria database.

Lattice parameters (Å, degrees): 3.4619 3.4619 23.0515 90.00 90.00 120.00
Closest atoms and distances in Å follow each position.
Space group R-3m (No. 166, hexagonal axes)
Asymmetric unit:
Cs 0.0000 0.0000 0.0000 x3  6 O 2.88
Tc 0.0000 0.0000 0.5000 x3  2 O 1.77
O 0.0000 0.0000 0.4232 x6  1 Tc 1.77

Calculated values
Density of states at the Fermi level = 4.6 states/eV/cell



Entry B
First-principles (PBE-GGA) data for crystalline CsTcO2 at its relaxed geometry, as listed in the Alexandria database.

Lattice parameters (Å, degrees): 5.4694 5.4694 10.8947 90.00 90.00 90.00
Closest atoms and distances in Å follow each position.
Space group I-42d (No. 122)
Asymmetric unit:
Cs 0.0000 0.0000 0.0000 x4  8 O 3.28-3.42
Tc 0.0000 0.0000 0.5000 x4  4 O 1.93
O 0.0155 0.2500 0.6250 x8  2 Tc 1.93

Calculated values
Density of states at the Fermi level = 8.6 states/eV/cell



Going by the energies, entry B is most stable and the next is 21.2 kJ/mol of atoms up.